i) ! CaLa2Y, optimized geometry, DFT PBEsol; values from VASP
&SYSTEM
  ibrav = 0, nat = 4, ntyp = 3
/
ATOMIC_SPECIES
Ca 40.08 Ca.upf
La 138.91 La.upf
Y 88.91 Y.upf
ATOMIC_POSITIONS crystal
Ca 0.0000 0.0000 0.0000
La 0.2467 0.2467 0.7360
La 0.7533 0.7533 0.2640
Y 0.5000 0.5000 0.5000
CELL_PARAMETERS angstrom
6.0252 -1.8063 0.0000
6.0252 1.8063 0.0000
-1.0517 0.0000 6.2935
! Density of states at the Fermi level: 4.189 states/eV per cell
! Total magnetization: 0.00 μB/cell


ii) ! CaLa2Y, optimized geometry, DFT PBEsol; values from VASP
&SYSTEM
  ibrav = 0, nat = 4, ntyp = 3
/
ATOMIC_SPECIES
Ca 40.08 Ca.upf
La 138.91 La.upf
Y 88.91 Y.upf
ATOMIC_POSITIONS crystal
Ca 0.0000 0.0000 0.0000
La 0.2500 0.7500 0.5000
La 0.7500 0.2500 0.5000
Y 0.5000 0.5000 0.0000
CELL_PARAMETERS angstrom
-2.6327 2.6327 4.9814
2.6327 -2.6327 4.9814
2.6327 2.6327 -4.9814
! Density of states at the Fermi level: 6.235 states/eV per cell
! Total magnetization: 0.00 μB/cell


iii) ! CaLa2Y, optimized geometry, DFT PBEsol; values from VASP
&SYSTEM
  ibrav = 0, nat = 4, ntyp = 3
/
ATOMIC_SPECIES
Ca 40.08 Ca.upf
La 138.91 La.upf
Y 88.91 Y.upf
ATOMIC_POSITIONS crystal
Ca 0.0000 0.0000 0.0000
La 0.4175 0.4175 0.4175
La 0.5825 0.5825 0.5825
Y 0.5000 0.5000 0.5000
CELL_PARAMETERS angstrom
1.7469 1.0085 12.9471
-1.7469 1.0085 12.9471
0.0000 -2.0171 12.9471
! Density of states at the Fermi level: 7.440 states/eV per cell
! Total magnetization: 0.00 μB/cell


Most stable: i)


i) ! CaLa2Y, optimized geometry, DFT PBEsol; values from VASP
&SYSTEM
  ibrav = 0, nat = 4, ntyp = 3
/
ATOMIC_SPECIES
Ca 40.08 Ca.upf
La 138.91 La.upf
Y 88.91 Y.upf
ATOMIC_POSITIONS crystal
Ca 0.0000 0.0000 0.0000
La 0.5000 0.5000 0.2663
La 0.5000 0.5000 0.7337
Y 0.0000 0.0000 0.5000
CELL_PARAMETERS angstrom
3.6130 0.0000 0.0000
0.0000 3.6130 0.0000
0.0000 0.0000 10.6440
! Density of states at the Fermi level: 6.141 states/eV per cell
! Total magnetization: 0.00 μB/cell


ii) ! CaLa2Y, optimized geometry, DFT PBEsol; values from VASP
&SYSTEM
  ibrav = 0, nat = 4, ntyp = 3
/
ATOMIC_SPECIES
Ca 40.08 Ca.upf
La 138.91 La.upf
Y 88.91 Y.upf
ATOMIC_POSITIONS crystal
Ca 0.0000 0.0000 0.0000
La 0.5000 0.5000 0.2648
La 0.5000 0.5000 0.7352
Y 0.0000 0.0000 0.5000
CELL_PARAMETERS angstrom
1.9255 -2.9625 0.0000
1.9255 2.9625 0.0000
0.0000 0.0000 12.2181
! Density of states at the Fermi level: 6.279 states/eV per cell
! Total magnetization: 0.00 μB/cell


iii) ! CaLa2Y, optimized geometry, DFT PBEsol; values from VASP
&SYSTEM
  ibrav = 0, nat = 4, ntyp = 3
/
ATOMIC_SPECIES
Ca 40.08 Ca.upf
La 138.91 La.upf
Y 88.91 Y.upf
ATOMIC_POSITIONS crystal
Ca 0.0000 0.0000 0.0000
La 0.0000 0.0000 0.4995
La 0.5000 0.5000 0.2737
Y 0.5000 0.5000 0.7423
CELL_PARAMETERS angstrom
3.6129 0.0000 0.0000
0.0000 5.2094 0.0000
0.0000 0.0000 7.3170
! Density of states at the Fermi level: 5.579 states/eV per cell
! Total magnetization: 0.00 μB/cell


Most stable: i)


i) ! Ca2LaY, optimized geometry, DFT PBEsol; values from VASP
&SYSTEM
  ibrav = 0, nat = 4, ntyp = 3
/
ATOMIC_SPECIES
Ca 40.08 Ca.upf
La 138.91 La.upf
Y 88.91 Y.upf
ATOMIC_POSITIONS crystal
Ca 0.0000 0.0000 0.0000
Ca 0.5000 0.5000 0.2651
La 0.0000 0.0000 0.5301
Y 0.5000 0.5000 0.7447
CELL_PARAMETERS angstrom
3.6303 0.0000 0.0000
0.0000 5.2549 0.0000
0.0000 0.0000 7.5096
! Density of states at the Fermi level: 6.648 states/eV per cell
! Total magnetization: 0.00 μB/cell


ii) ! Ca2LaY, optimized geometry, DFT PBEsol; values from VASP
&SYSTEM
  ibrav = 0, nat = 4, ntyp = 3
/
ATOMIC_SPECIES
Ca 40.08 Ca.upf
La 138.91 La.upf
Y 88.91 Y.upf
ATOMIC_POSITIONS crystal
Ca 0.0000 0.0000 0.0000
Ca 0.5000 0.5000 0.2716
La 0.0000 0.0000 0.5327
Y 0.5000 0.5000 0.7520
CELL_PARAMETERS angstrom
3.7042 0.0000 0.0000
0.0000 3.7042 0.0000
0.0000 0.0000 10.5596
! Density of states at the Fermi level: 5.880 states/eV per cell
! Total magnetization: 0.00 μB/cell


Most stable: ii)


i) ! CaLa2Zr, optimized geometry, DFT PBEsol; values from VASP
&SYSTEM
  ibrav = 0, nat = 4, ntyp = 3
/
ATOMIC_SPECIES
Ca 40.08 Ca.upf
La 138.91 La.upf
Zr 91.22 Zr.upf
ATOMIC_POSITIONS crystal
Ca 0.0000 0.0000 0.0000
La 0.0000 0.5000 0.5000
La 0.5000 0.0000 0.5000
Zr 0.5000 0.5000 0.0000
CELL_PARAMETERS angstrom
5.1348 0.0000 0.0000
0.0000 5.1348 0.0000
0.0000 0.0000 4.6166
! Density of states at the Fermi level: 4.746 states/eV per cell
! Total magnetization: 0.00 μB/cell


ii) ! CaLa2Zr, optimized geometry, DFT PBEsol; values from VASP
&SYSTEM
  ibrav = 0, nat = 4, ntyp = 3
/
ATOMIC_SPECIES
Ca 40.08 Ca.upf
La 138.91 La.upf
Zr 91.22 Zr.upf
ATOMIC_POSITIONS crystal
Ca 0.0000 0.0000 0.0000
La 0.0000 0.5000 0.5000
La 0.5000 0.0000 0.5000
Zr 0.5000 0.5000 0.0000
CELL_PARAMETERS angstrom
3.5672 -4.8758 0.0000
3.5672 4.8758 0.0000
0.0000 0.0000 3.5063
! Density of states at the Fermi level: 5.215 states/eV per cell
! Total magnetization: 0.00 μB/cell


iii) ! CaLa2Zr, optimized geometry, DFT PBEsol; values from VASP
&SYSTEM
  ibrav = 0, nat = 4, ntyp = 3
/
ATOMIC_SPECIES
Ca 40.08 Ca.upf
La 138.91 La.upf
Zr 91.22 Zr.upf
ATOMIC_POSITIONS crystal
Ca 0.0000 0.0000 0.0000
La 0.5000 0.5000 0.2841
La 0.5000 0.5000 0.7159
Zr 0.0000 0.0000 0.5000
CELL_PARAMETERS angstrom
3.5966 0.0000 0.0000
0.0000 4.5611 0.0000
0.0000 0.0000 7.7320
! Density of states at the Fermi level: 5.041 states/eV per cell
! Total magnetization: 0.00 μB/cell


Most stable: iii)


i) ! Ca2LaZr, optimized geometry, DFT PBEsol; values from VASP
&SYSTEM
  ibrav = 0, nat = 4, ntyp = 3
/
ATOMIC_SPECIES
Ca 40.08 Ca.upf
La 138.91 La.upf
Zr 91.22 Zr.upf
ATOMIC_POSITIONS crystal
Ca 0.0000 0.0000 0.0000
Ca 0.5000 0.5000 0.2805
La 0.0000 0.0000 0.5607
Zr 0.5000 0.5000 0.7661
CELL_PARAMETERS angstrom
3.4698 0.0000 0.0000
0.0000 3.4698 0.0000
0.0000 0.0000 10.8319
! Density of states at the Fermi level: 4.238 states/eV per cell
! Total magnetization: 0.00 μB/cell


ii) ! Ca2LaZr, optimized geometry, DFT PBEsol; values from VASP
&SYSTEM
  ibrav = 0, nat = 4, ntyp = 3
/
ATOMIC_SPECIES
Ca 40.08 Ca.upf
La 138.91 La.upf
Zr 91.22 Zr.upf
ATOMIC_POSITIONS crystal
Ca 0.0000 0.5000 0.0000
Ca 0.5000 0.0000 0.0000
La 0.0000 0.0000 0.5000
Zr 0.5000 0.5000 0.5000
CELL_PARAMETERS angstrom
3.3940 -5.3884 0.0000
3.3940 5.3884 0.0000
0.0000 0.0000 3.3677
! Density of states at the Fermi level: 6.193 states/eV per cell
! Total magnetization: 0.00 μB/cell


iii) ! Ca2LaZr, optimized geometry, DFT PBEsol; values from VASP
&SYSTEM
  ibrav = 0, nat = 4, ntyp = 3
/
ATOMIC_SPECIES
Ca 40.08 Ca.upf
La 138.91 La.upf
Zr 91.22 Zr.upf
ATOMIC_POSITIONS crystal
Ca 0.0000 0.5000 0.0000
Ca 0.5000 0.0000 0.0000
La 0.0000 0.0000 0.5000
Zr 0.5000 0.5000 0.5000
CELL_PARAMETERS angstrom
4.8241 0.0000 0.0000
0.0000 4.8241 0.0000
0.0000 0.0000 5.3841
! Density of states at the Fermi level: 7.134 states/eV per cell
! Total magnetization: 0.00 μB/cell


Most stable: i)


i) ! Li3Ca, optimized geometry, DFT PBEsol; values from VASP
&SYSTEM
  ibrav = 0, nat = 4, ntyp = 2
/
ATOMIC_SPECIES
Li 6.94 Li.upf
Ca 40.08 Ca.upf
ATOMIC_POSITIONS crystal
Li 0.0000 0.0000 0.0000
Li 0.2500 0.7500 0.5000
Li 0.7500 0.2500 0.5000
Ca 0.5000 0.5000 0.0000
CELL_PARAMETERS angstrom
-2.3145 2.3145 4.7867
2.3145 -2.3145 4.7867
2.3145 2.3145 -4.7867
! Density of states at the Fermi level: 3.198 states/eV per cell
! Total magnetization: 0.00 μB/cell


ii) ! Li3Ca, optimized geometry, DFT PBEsol; values from VASP
&SYSTEM
  ibrav = 0, nat = 4, ntyp = 2
/
ATOMIC_SPECIES
Li 6.94 Li.upf
Ca 40.08 Ca.upf
ATOMIC_POSITIONS crystal
Li 0.0000 0.0000 0.0000
Li 0.0000 0.5000 0.3169
Li 0.5000 0.5000 0.8760
Ca 0.5000 0.0000 0.5001
CELL_PARAMETERS angstrom
3.5341 0.0000 0.0000
0.0000 5.2590 0.0000
0.0000 0.0000 5.6648
! Density of states at the Fermi level: 2.181 states/eV per cell
! Total magnetization: 0.00 μB/cell


iii) ! Li3Ca, optimized geometry, DFT PBEsol; values from VASP
&SYSTEM
  ibrav = 0, nat = 4, ntyp = 2
/
ATOMIC_SPECIES
Li 6.94 Li.upf
Ca 40.08 Ca.upf
ATOMIC_POSITIONS crystal
Li 0.0000 0.0000 0.0000
Li 0.2276 0.7276 0.5000
Li 0.7724 0.2724 0.5000
Ca 0.5000 0.5000 0.0000
CELL_PARAMETERS angstrom
-1.9259 2.6225 5.0972
1.9259 -2.6225 5.0972
1.9259 2.6225 -5.0972
! Density of states at the Fermi level: 2.787 states/eV per cell
! Total magnetization: 0.00 μB/cell


iv) ! Li3Ca, optimized geometry, DFT PBEsol; values from VASP
&SYSTEM
  ibrav = 0, nat = 4, ntyp = 2
/
ATOMIC_SPECIES
Li 6.94 Li.upf
Ca 40.08 Ca.upf
ATOMIC_POSITIONS crystal
Li 0.0000 0.0000 0.0000
Li 0.0000 0.5000 0.5000
Li 0.5000 0.0000 0.5000
Ca 0.5000 0.5000 0.0000
CELL_PARAMETERS angstrom
4.7364 0.0000 0.0000
0.0000 4.7364 0.0000
0.0000 0.0000 4.7260
! Density of states at the Fermi level: 2.913 states/eV per cell
! Total magnetization: 0.00 μB/cell


Most stable: iii)


i) ! Li5Ca, optimized geometry, DFT PBEsol; values from VASP
&SYSTEM
  ibrav = 0, nat = 6, ntyp = 2
/
ATOMIC_SPECIES
Li 6.94 Li.upf
Ca 40.08 Ca.upf
ATOMIC_POSITIONS crystal
Li 0.0000 0.0000 0.0000
Li 0.3143 0.3143 0.6866
Li 0.3301 0.3301 0.1298
Li 0.6699 0.6699 0.8702
Li 0.6857 0.6857 0.3134
Ca 0.0000 0.0000 0.5000
CELL_PARAMETERS angstrom
5.7241 -1.8619 0.0000
5.7241 1.8619 0.0000
-2.1157 0.0000 6.6991
! Density of states at the Fermi level: 3.671 states/eV per cell
! Total magnetization: 0.00 μB/cell


ii) ! Li5Ca, optimized geometry, DFT PBEsol; values from VASP
&SYSTEM
  ibrav = 0, nat = 6, ntyp = 2
/
ATOMIC_SPECIES
Li 6.94 Li.upf
Ca 40.08 Ca.upf
ATOMIC_POSITIONS crystal
Li 0.0000 0.0000 0.0000
Li 0.1767 0.8233 0.5000
Li 0.3168 0.6832 0.0000
Li 0.6832 0.3168 0.0000
Li 0.8233 0.1767 0.5000
Ca 0.5000 0.5000 0.5000
CELL_PARAMETERS angstrom
2.3598 -6.5851 0.0000
2.3598 6.5851 0.0000
0.0000 0.0000 4.6130
! Density of states at the Fermi level: 3.921 states/eV per cell
! Total magnetization: 0.00 μB/cell


Most stable: i)


i) ! LiCaMg2, optimized geometry, DFT PBEsol; values from VASP
&SYSTEM
  ibrav = 0, nat = 4, ntyp = 3
/
ATOMIC_SPECIES
Li 6.94 Li.upf
Ca 40.08 Ca.upf
Mg 24.30 Mg.upf
ATOMIC_POSITIONS crystal
Li 0.0000 0.0000 0.0000
Ca 0.0000 0.0000 0.5000
Mg 0.5000 0.5000 0.2053
Mg 0.5000 0.5000 0.7947
CELL_PARAMETERS angstrom
3.5649 0.0000 0.0000
0.0000 3.5649 0.0000
0.0000 0.0000 7.8711
! Density of states at the Fermi level: 2.462 states/eV per cell
! Total magnetization: 0.00 μB/cell


ii) ! LiCaMg2, optimized geometry, DFT PBEsol; values from VASP
&SYSTEM
  ibrav = 0, nat = 4, ntyp = 3
/
ATOMIC_SPECIES
Li 6.94 Li.upf
Ca 40.08 Ca.upf
Mg 24.30 Mg.upf
ATOMIC_POSITIONS crystal
Li 0.0000 0.0000 0.0000
Ca 0.5000 0.5000 0.0000
Mg 0.2500 0.7500 0.5000
Mg 0.7500 0.2500 0.5000
CELL_PARAMETERS angstrom
-2.3591 2.3591 4.6234
2.3591 -2.3591 4.6234
2.3591 2.3591 -4.6234
! Density of states at the Fermi level: 1.800 states/eV per cell
! Total magnetization: 0.00 μB/cell


Most stable: i)


i) ! LiCaMg2, optimized geometry, DFT PBEsol; values from VASP
&SYSTEM
  ibrav = 0, nat = 4, ntyp = 3
/
ATOMIC_SPECIES
Li 6.94 Li.upf
Ca 40.08 Ca.upf
Mg 24.30 Mg.upf
ATOMIC_POSITIONS crystal
Li 0.0000 0.0000 0.0000
Ca 0.5000 0.5000 0.7144
Mg 0.0000 0.0000 0.4245
Mg 0.5000 0.5000 0.1955
CELL_PARAMETERS angstrom
3.6635 0.0000 0.0000
0.0000 3.6635 0.0000
0.0000 0.0000 7.5740
! Density of states at the Fermi level: 2.150 states/eV per cell
! Total magnetization: 0.00 μB/cell


ii) ! LiCaMg2, optimized geometry, DFT PBEsol; values from VASP
&SYSTEM
  ibrav = 0, nat = 4, ntyp = 3
/
ATOMIC_SPECIES
Li 6.94 Li.upf
Ca 40.08 Ca.upf
Mg 24.30 Mg.upf
ATOMIC_POSITIONS crystal
Li 0.0000 0.0000 0.0000
Ca 0.5000 0.5000 0.0000
Mg 0.0000 0.5000 0.5000
Mg 0.5000 0.0000 0.5000
CELL_PARAMETERS angstrom
4.4987 0.0000 0.0000
0.0000 4.7261 0.0000
0.0000 0.0000 4.9163
! Density of states at the Fermi level: 2.622 states/eV per cell
! Total magnetization: 0.00 μB/cell


iii) ! LiCaMg2, optimized geometry, DFT PBEsol; values from VASP
&SYSTEM
  ibrav = 0, nat = 4, ntyp = 3
/
ATOMIC_SPECIES
Li 6.94 Li.upf
Ca 40.08 Ca.upf
Mg 24.30 Mg.upf
ATOMIC_POSITIONS crystal
Li 0.0000 0.0000 0.0000
Ca 0.2500 0.2500 0.2500
Mg 0.5000 0.5000 0.5000
Mg 0.7500 0.7500 0.7500
CELL_PARAMETERS angstrom
0.0000 3.6890 3.6890
3.6890 0.0000 3.6890
3.6890 3.6890 0.0000
! Density of states at the Fermi level: 2.883 states/eV per cell
! Total magnetization: 0.00 μB/cell


Most stable: iii)


i) ! Li2Ca2Mg, optimized geometry, DFT PBEsol; values from VASP
&SYSTEM
  ibrav = 0, nat = 5, ntyp = 3
/
ATOMIC_SPECIES
Li 6.94 Li.upf
Ca 40.08 Ca.upf
Mg 24.30 Mg.upf
ATOMIC_POSITIONS crystal
Li 0.2500 0.7500 0.5000
Li 0.7500 0.2500 0.5000
Ca 0.1027 0.1027 0.0000
Ca 0.8973 0.8973 0.0000
Mg 0.5000 0.5000 0.0000
CELL_PARAMETERS angstrom
-1.9481 1.9481 9.5278
1.9481 -1.9481 9.5278
1.9481 1.9481 -9.5278
! Density of states at the Fermi level: 2.647 states/eV per cell
! Total magnetization: 0.00 μB/cell


ii) ! Li2Ca2Mg, optimized geometry, DFT PBEsol; values from VASP
&SYSTEM
  ibrav = 0, nat = 10, ntyp = 3
/
ATOMIC_SPECIES
Li 6.94 Li.upf
Ca 40.08 Ca.upf
Mg 24.30 Mg.upf
ATOMIC_POSITIONS crystal
Li 0.1249 0.3751 0.0000
Li 0.3751 0.8751 0.0000
Li 0.6249 0.1249 0.0000
Li 0.8751 0.6249 0.0000
Ca 0.1803 0.6803 0.5000
Ca 0.3197 0.1803 0.5000
Ca 0.6803 0.8197 0.5000
Ca 0.8197 0.3197 0.5000
Mg 0.0000 0.0000 0.0000
Mg 0.5000 0.5000 0.0000
CELL_PARAMETERS angstrom
7.8668 0.0000 0.0000
0.0000 7.8668 0.0000
0.0000 0.0000 4.6178
! Density of states at the Fermi level: 7.757 states/eV per cell
! Total magnetization: 0.00 μB/cell


Most stable: ii)


i) ! LiCaMo2, optimized geometry, DFT PBEsol; values from VASP
&SYSTEM
  ibrav = 0, nat = 4, ntyp = 3
/
ATOMIC_SPECIES
Li 6.94 Li.upf
Ca 40.08 Ca.upf
Mo 95.94 Mo.upf
ATOMIC_POSITIONS crystal
Li 0.0000 0.0000 0.0000
Ca 0.5000 0.0000 0.5000
Mo 0.1331 0.5000 0.7521
Mo 0.8669 0.5000 0.2479
CELL_PARAMETERS angstrom
2.7583 0.0000 0.0000
0.0000 5.1944 0.0000
-0.6510 0.0000 4.8912
! Density of states at the Fermi level: 2.610 states/eV per cell
! Total magnetization: 0.00 μB/cell


ii) ! LiCaMo2, optimized geometry, DFT PBEsol; values from VASP
&SYSTEM
  ibrav = 0, nat = 4, ntyp = 3
/
ATOMIC_SPECIES
Li 6.94 Li.upf
Ca 40.08 Ca.upf
Mo 95.94 Mo.upf
ATOMIC_POSITIONS crystal
Li 0.0000 0.0000 0.0000
Ca 0.0000 0.0000 0.5000
Mo 0.5000 0.5000 0.2341
Mo 0.5000 0.5000 0.7659
CELL_PARAMETERS angstrom
2.6184 0.0000 0.0000
0.0000 2.6184 0.0000
0.0000 0.0000 9.8740
! Density of states at the Fermi level: 2.450 states/eV per cell
! Total magnetization: 0.00 μB/cell


iii) ! LiCaMo2, optimized geometry, DFT PBEsol; values from VASP
&SYSTEM
  ibrav = 0, nat = 4, ntyp = 3
/
ATOMIC_SPECIES
Li 6.94 Li.upf
Ca 40.08 Ca.upf
Mo 95.94 Mo.upf
ATOMIC_POSITIONS crystal
Li 0.0000 0.0000 0.0000
Ca 0.5000 0.5000 0.7113
Mo 0.0000 0.0000 0.4086
Mo 0.5000 0.5000 0.2255
CELL_PARAMETERS angstrom
2.6657 0.0000 0.0000
0.0000 4.1445 0.0000
0.0000 0.0000 6.6770
! Density of states at the Fermi level: 2.599 states/eV per cell
! Total magnetization: 0.00 μB/cell


Most stable: iii)